First-principles (GGA-PBE) data for a relaxed structure of LaZnIn, as listed in Alexandria via LeMat-Bulk.

Unit cell a=5.530 b=5.530 c=5.530 alpha=141.27 beta=128.79 gamma=66.01
Fractional positions:
In 0.991 0.991 0.000
La 0.335 0.335 0.000
Zn 0.673 0.673 0.000

## Properties
M_tot ... 0.00 μB/atom
E_form ... -166 meV per atom